Material: Tb3Ga8Co3
Method: DFT, GGA-PBE
State: optimized geometry

Cell and atoms, written as extended XYZ:
```
14
Lattice="4.0001 0.0000 1.0955 1.5847 7.5869 2.0645 -0.0461 0.1683 8.0190" Properties=species:S:1:pos:R:3 pbc="T T T"
Tb 2.7694 3.8776 5.5895
Tb 3.5756 1.3377 2.6459
Tb 1.9632 6.4176 8.5332
Ga 2.5833 0.8353 6.2689
Ga 2.9554 6.9200 4.9102
Ga 3.5258 5.1229 2.8275
Ga 2.0129 2.6324 8.3516
Ga 4.5867 6.1532 6.8046
Ga 0.9521 1.6021 4.3745
Ga 4.1452 4.1447 8.4167
Ga 1.3936 3.6106 2.7623
Co 2.0001 0.0000 0.5478
Co 1.2361 6.0013 3.3372
Co 0.3025 1.7540 6.7463
```

Output
N(E_F), states/eV per atom: 0.725
DFT formation energy, kcal/mol of atoms: -11.61
Space group: Immm

Material: HRuBr
Method: DFT, GGA-PBE
State: optimized geometry

Cell and atoms, written as extended XYZ:
```
6
Lattice="-1.7919 1.8390 2.4741 1.3703 -2.3044 5.4257 4.1927 1.7081 1.9180" Properties=species:S:1:pos:R:3 pbc="T T T"
Ru 3.0215 -0.2094 6.3299
Ru 0.7495 1.4521 3.4878
Br 3.0464 1.6910 4.5782
Br 0.7246 -0.4482 5.2395
H 1.9870 0.4938 7.6066
H 1.7841 0.7490 2.2112
```

Output
N(E_F), states/eV per atom: 0.614
Space group: P-1

Material: NdY2Zn
Method: DFT, GGA-PBE
State: optimized geometry

Cell and atoms, written as extended XYZ:
```
4
Lattice="3.5976 0.0000 0.0000 0.0000 3.5976 0.0000 0.0000 0.0000 8.7950" Properties=species:S:1:pos:R:3 pbc="T T T"
Y 0.0000 0.0000 7.0240
Y 0.0000 0.0000 1.7710
Zn 1.7988 1.7988 0.0000
Nd 1.7988 1.7988 4.3975
```

Output
N(E_F), states/eV per atom: 1.178
ΔE to the lowest computed polymorph, meV/atom: 0
DFT formation energy, kcal/mol of atoms: -3.96
Space group: P4/mmm

Material: AgBPt3
Method: DFT, GGA-PBE
State: optimized geometry

Cell and atoms, written as extended XYZ:
```
20
Lattice="-6.5048 -4.1610 8.0337 -6.4634 -4.0974 -1.1576 1.9468 -3.6772 -6.5263" Properties=species:S:1:pos:R:3 pbc="T T T"
B -4.7215 -6.3646 1.3733
B -6.2999 -5.5710 -1.0235
B -5.9459 -8.4722 -0.7097
B -5.0755 -3.4635 1.0595
Ag -2.8605 -3.7117 -2.5308
Ag -6.6038 -9.0614 -4.0203
Ag -8.1609 -8.2239 2.8806
Ag -4.4176 -2.8742 4.3700
Pt -4.3060 -5.0194 -0.3340
Pt -5.1463 -7.7333 -6.1968
Pt -6.7154 -6.9163 0.6838
Pt -5.8751 -4.2024 6.5465
Pt -1.7957 -1.9173 -0.5186
Pt -5.4587 -7.0519 -2.2729
Pt -9.2258 -10.0183 0.8684
Pt -5.5627 -4.8838 2.6226
Pt -7.8985 -8.7533 -1.3429
Pt -6.9650 -6.2778 4.7064
Pt -3.1230 -3.1824 1.6926
Pt -4.0565 -5.6578 -4.3566
```

Output
N(E_F), states/eV per atom: 0.350
ΔE to the lowest computed polymorph, meV/atom: 104
DFT formation energy, kcal/mol of atoms: -2.77
Space group: C2/c

Material: Tb6Sm16Tm7
Method: DFT, GGA-PBE
State: optimized geometry

Cell and atoms, written as extended XYZ:
```
29
Lattice="9.6965 0.0000 5.5983 3.2322 9.1419 5.5983 0.0000 0.0000 11.1966" Properties=species:S:1:pos:R:3 pbc="T T T"
Tb 4.9790 6.6715 8.6239
Tb 7.9496 2.4704 13.7692
Tb 7.9496 2.4704 8.6239
Tb 4.9790 6.6715 13.7692
Tb 9.4349 6.6715 11.1966
Tb 3.4937 2.4704 11.1966
Sm 11.3188 8.0036 13.9850
Sm 11.3188 8.0036 19.6047
Sm 9.6965 3.4151 16.7948
Sm 6.4519 8.0036 16.7948
Sm 1.6099 1.1384 2.7884
Sm 1.6099 1.1384 8.4081
Sm 3.2322 5.7269 5.5983
Sm 6.4767 1.1384 5.5983
Sm 8.4038 5.9424 7.8374
Sm 8.4038 5.9424 14.5558
Sm 6.4643 0.4568 11.1966
Sm 2.5855 5.9424 11.1966
Sm 4.5249 3.1996 7.8373
Sm 4.5249 3.1996 14.5558
Sm 6.4643 8.6851 11.1965
Sm 10.3432 3.1996 11.1965
Tm 0.0000 0.0000 0.0000
Tm 4.8482 0.0000 8.3974
Tm 1.6161 4.5710 2.7991
Tm 1.6161 4.5710 8.3974
Tm 4.8482 0.0000 2.7991
Tm 0.0000 0.0000 5.5983
Tm 6.4643 4.5710 5.5983
```

Output
N(E_F), states/eV per atom: 1.488
DFT formation energy, kcal/mol of atoms: 4.91
Space group: Fm-3m

Material: Ac2SeCl2
Method: DFT, GGA-PBE
State: optimized geometry

Cell and atoms, written as extended XYZ:
```
5
Lattice="4.4217 0.0000 0.0000 -2.2109 3.8363 -0.0210 0.0000 0.0118 10.0369" Properties=species:S:1:pos:R:3 pbc="T T T"
Ac 2.2109 2.5513 3.2908
Ac 0.0000 1.2968 6.7251
Se 2.2109 0.0059 5.0184
Cl 0.0000 1.2611 1.6008
Cl 2.2109 2.5869 8.4151
```

Output
ΔE_f (raw), eV per atom: -1.988
N(E_F), states/eV per atom: 0.632
Space group: C2/m

Material: La2GaAgRu
Method: DFT, GGA-PBE
State: optimized geometry

Cell and atoms, written as extended XYZ:
```
5
Lattice="5.2461 0.0000 0.0000 0.0000 5.2557 0.0000 0.0000 0.0000 5.2461" Properties=species:S:1:pos:R:3 pbc="T T T"
Ru 0.0000 0.0000 0.0000
Ga 2.6231 2.6278 2.6231
Ag 0.0000 2.6278 0.0000
La 0.0000 0.0000 2.6231
La 2.6231 0.0000 0.0000
```

Output
N(E_F), states/eV per atom: 0.748
ΔE to the lowest computed polymorph, meV/atom: 360
DFT formation energy, kcal/mol of atoms: -0.66
Space group: P4/mmm

Material: SmScRe4
Method: DFT, GGA-PBE
State: optimized geometry

Cell and atoms, written as extended XYZ:
```
6
Lattice="-4.8115 -1.0594 -2.1706 -4.2383 -0.9487 3.1814 -3.9675 3.6223 0.3500" Properties=species:S:1:pos:R:3 pbc="T T T"
Sc 0.0000 0.0000 0.0000
Re -6.1514 -0.8055 0.6755
Re -6.0157 1.4846 -0.7430
Re -8.1391 1.0092 0.8509
Re -5.7285 1.5400 1.9383
Sm -3.2543 0.4035 0.3402
```

Output
N(E_F), states/eV per atom: 1.258
DFT formation energy, kcal/mol of atoms: -3.19
Space group: F-43m

Material: CsNi2Bi
Method: DFT, GGA-PBE
State: optimized geometry

Cell and atoms, written as extended XYZ:
```
8
Lattice="8.0715 0.0000 0.0000 0.0000 8.0715 0.0000 4.0358 4.0358 4.0984" Properties=species:S:1:pos:R:3 pbc="T T T"
Cs 4.0358 4.0358 0.0000
Cs 4.0358 8.0715 2.0492
Ni 7.0275 2.0179 1.0246
Ni 1.0440 6.0537 1.0246
Ni 6.0537 5.0798 3.0738
Ni 10.0894 11.0633 3.0738
Bi 0.0000 0.0000 0.0000
Bi 8.0715 4.0358 2.0492
```

Output
N(E_F), states/eV per atom: 0.780
DFT formation energy, kcal/mol of atoms: 14.39
Space group: I-42d

Material: Tb2UWN6
Method: DFT, GGA-PBE
State: optimized geometry

Cell and atoms, written as extended XYZ:
```
10
Lattice="4.5888 0.0000 0.0000 0.0000 5.6300 0.0000 0.0000 0.0000 5.6300" Properties=species:S:1:pos:R:3 pbc="T T T"
Tb 0.0577 2.8150 0.0000
Tb 0.0577 0.0000 2.8150
U 2.8166 2.8150 2.8150
W 2.7123 0.0000 0.0000
N 3.2923 1.3528 1.3528
N 3.2923 1.3528 4.2772
N 0.6906 2.8150 2.8150
N 0.9011 0.0000 0.0000
N 3.2923 4.2772 4.2772
N 3.2923 4.2772 1.3528
```

Output
ΔE_f (raw), eV per atom: -1.063
Space group: P4mm

Material: Ba2ZrTl
Method: DFT, GGA-PBE
State: optimized geometry

Cell and atoms, written as extended XYZ:
```
4
Lattice="3.8825 0.0000 0.0000 0.0000 4.2008 0.0000 0.0000 0.0000 9.7950" Properties=species:S:1:pos:R:3 pbc="T T T"
Ba 0.0000 0.0000 9.1745
Ba 1.9412 2.1004 3.1530
Tl 0.0000 0.0000 5.5275
Zr 1.9412 2.1004 6.6324
```

Output
N(E_F), states/eV per atom: 1.135
ΔE to the lowest computed polymorph, meV/atom: 0
DFT formation energy, kcal/mol of atoms: 3.09
Space group: Pmm2

Material: InAsRuCl
Method: DFT, GGA-PBE
State: optimized geometry

Cell and atoms, written as extended XYZ:
```
4
Lattice="-2.0621 1.6888 -2.1333 -1.1378 -2.7707 1.6382 -2.6212 4.8401 6.3654" Properties=species:S:1:pos:R:3 pbc="T T T"
Ru -3.6412 3.6870 3.7068
As -3.7775 3.0210 6.0430
Cl -0.6626 1.2235 1.6091
In -2.7018 1.0348 3.4309
```

Output
ΔE_f (raw), eV per atom: -0.272
N(E_F), states/eV per atom: 0.704
ΔE to the lowest computed polymorph, meV/atom: 37
Space group: P3m1

Number 1: theoretical density 8.29 g/cm³, DFT total energy -4.748 eV/atom. Number 2: theoretical density 6.63 g/cm³, DFT total energy -4.498 eV/atom. Number 3: theoretical density 5.65 g/cm³, DFT total energy -4.914 eV/atom. Number 4: theoretical density 15.92 g/cm³, DFT total energy -5.650 eV/atom. Number 5: theoretical density 7.60 g/cm³, DFT total energy -4.428 eV/atom. Number 6: theoretical density 5.89 g/cm³, DFT total energy -5.067 eV/atom. Number 7: theoretical density 6.39 g/cm³, DFT total energy -5.031 eV/atom. Number 8: theoretical density 14.15 g/cm³, DFT total energy -10.279 eV/atom. Number 9: theoretical density 5.71 g/cm³, DFT total energy -3.450 eV/atom. Number 10: theoretical density 9.40 g/cm³, DFT total energy -9.409 eV/atom. Number 11: theoretical density 5.93 g/cm³, DFT total energy -3.556 eV/atom. Number 12: theoretical density 6.38 g/cm³, DFT total energy -4.900 eV/atom.